DFT (PBE) results for a relaxed Zr2PF crystal.

Properties
The calculation puts the total energy at -7.35 eV/atom. For the relative energy among the computed polymorphs, the calculation gives 0.47 eV per formula unit. Its uncorrected formation energy is -1.254 eV/atom. The symmetry is I-42d.

Geometry as POSCAR:
```
Zr2PF
1.0
6.589 0.000 0.000
0.000 6.589 0.000
3.295 3.295 3.156
Zr F P
4 2 2
Direct
0.572 0.125 0.250
0.375 0.428 0.750
0.875 0.822 0.750
0.178 0.625 0.250
0.250 0.750 0.500
0.500 0.500 0.000
0.000 0.000 0.000
0.750 0.250 0.500
```